First-principles (PBE) data for a relaxed structure of PmPrCuSi, as listed in the Alexandria database.

- Raw formation energy: -1.5 eV/f.u.
- SG: F-43m, No. 216
- Offset from the most stable computed form: 85 meV/atom
- E: -0.1884 hartree per atom

Geometry as POSCAR:
```
PmPrCuSi
1.0
5.116 0.000 0.000
2.558 4.431 0.000
2.558 1.477 4.177
Cu Si Pr Pm
1 1 1 1
Cartesian
2.558 1.477 1.044
7.675 4.431 3.133
0.000 0.000 0.000
5.116 2.954 2.089
```


First-principles (PBE) data for a relaxed structure of LaAg2Pt, as listed in the Alexandria database.

- SG: R3m, No. 160
- Calculated formation energy: 0.20 eV per formula unit
- Offset from the most stable computed form: 572 meV/atom
- E: -0.1514 hartree per atom

Geometry as POSCAR:
```
LaAg2Pt
1.0
10.085 0.019 0.011
9.599 3.092 0.011
9.599 1.517 2.694
Ag Pt La
2 1 1
Cartesian
7.551 1.193 0.700
0.050 0.008 0.005
21.821 3.448 2.024
14.503 2.292 1.345
```


First-principles (PBE) data for a relaxed structure of BRh3Pb, as listed in the Alexandria database.

- SG: I-4m2, No. 119
- Calculated formation energy: 1.44 eV per formula unit
- Offset from the most stable computed form: 511 meV/atom
- E: -0.2278 hartree per atom

Geometry as POSCAR:
```
BRh3Pb
1.0
5.220 0.000 0.000
0.000 5.220 0.000
2.610 2.610 6.256
Rh Pb B
6 2 2
Cartesian
3.942 5.220 1.626
2.610 2.610 2.088
1.278 5.220 1.626
2.610 3.888 4.630
5.220 5.220 4.167
2.610 6.552 4.630
5.220 2.610 0.989
5.220 2.610 5.266
2.610 5.220 3.128
0.000 0.000 0.000
```


First-principles (PBE) data for a relaxed structure of BaGa2Re, as listed in the Alexandria database.

- SG: Fm-3m, No. 225
- Calculated formation energy: 2.59 eV per formula unit
- Offset from the most stable computed form: 362 meV/atom
- E: -0.1639 hartree per atom

Geometry as POSCAR:
```
BaGa2Re
1.0
-1.173 -3.356 -3.529
-4.628 -1.906 -0.204
-3.071 1.274 -3.747
Ga Ba Re
2 1 1
Cartesian
-2.218 -0.997 -1.870
-6.654 -2.991 -5.609
0.000 0.000 0.000
-4.436 -1.994 -3.740
```


First-principles (PBE) data for a relaxed structure of Li3Cd4In2, as listed in the Alexandria database.

- SG: P-3m1, No. 164
- Calculated formation energy: -1.58 eV per formula unit
- Offset from the most stable computed form: 0 meV/atom
- E: -0.0672 hartree per atom

Geometry as POSCAR:
```
Li3Cd4In2
1.0
4.873 0.000 0.000
-2.436 4.210 -0.274
0.000 0.596 9.155
Cd Li In
4 3 2
Cartesian
2.436 4.625 6.130
0.000 3.349 8.168
0.000 0.181 2.751
2.436 1.457 0.713
0.000 0.000 0.000
2.436 1.861 6.993
0.000 2.945 1.888
0.000 3.148 5.080
2.436 1.658 3.801
```


First-principles (PBE) data for a relaxed structure of Sr2SnB, as listed in the Alexandria database.

- SG: I-42d, No. 122
- Calculated formation energy: 1.98 eV per formula unit
- Offset from the most stable computed form: 180 meV/atom
- E: -0.1108 hartree per atom

Geometry as POSCAR:
```
Sr2SnB
1.0
-6.818 1.999 -4.596
-5.007 -3.045 6.104
-5.999 2.586 2.234
B Sr Sn
2 4 2
Cartesian
-8.460 -0.491 4.547
-5.913 -0.523 0.754
-14.543 1.210 2.625
-5.973 1.394 -1.272
-5.896 -0.885 3.520
-9.238 1.363 2.612
0.000 0.000 0.000
-9.365 2.031 -0.804
```